Material: KPa2O6
Method: DFT, GGA-PBE
State: relaxed

Output
- E: -8.078 eV per atom
- Space-group type: I4/mmm

Cell: 9.5031 9.5031 9.5031 Å, 156.92 156.92 32.87°
Last column: nearest neighbours and their distance in Å.
Element x y z (fractional)
K 0.0000 0.0000 0.0000  8 O 2.71
O 0.6061 0.1061 0.5000  2 Pa 2.22
O 0.7500 0.2500 0.5000  4 Pa 2.41, 6 O 2.62-2.69
O 0.8939 0.3939 0.5000  2 Pa 2.22
O 0.1061 0.6061 0.5000  2 Pa 2.22
O 0.2500 0.7500 0.5000  4 Pa 2.41, 6 O 2.62-2.69
O 0.3939 0.8939 0.5000  2 Pa 2.22
Pa 0.3309 0.3309 0.0000  8 O 2.22-2.41
Pa 0.6691 0.6691 0.0000  8 O 2.22-2.41

***

Material: KSmGdNi2
Method: DFT, GGA-PBE
State: relaxed

Output
- E: -4.458 eV per atom
- Space-group type: Amm2

Cell: 3.7663 9.2827 9.2827 Å, 25.04 90.00 90.00°
Last column: nearest neighbours and their distance in Å.
Element x y z (fractional)
Gd 0.5000 0.3319 0.3319  6 Ni 2.85-2.89
K 0.0000 0.9984 0.9984  2 Ni 3.74-3.85, 4 K 3.77-4.02, 4 Gd 4.09, 4 Sm 4.11
Ni 0.0000 0.2108 0.2108  2 Ni 2.50
Ni 0.0000 0.7922 0.7922  2 Ni 2.50
Sm 0.5000 0.6667 0.6667  6 Ni 2.87-2.95

***

Material: CsPrTa
Method: DFT, GGA-PBE
State: relaxed

Output
- E: -3.856 eV per atom
- Space-group type: F-43m

Cell: 5.5158 5.5158 5.5158 Å, 60.00 60.00 60.00°
Last column: nearest neighbours and their distance in Å.
Element x y z (fractional)
Cs 0.2500 0.2500 0.2500  4 Pr 3.38
Pr 0.0000 0.0000 0.0000  4 Ta 3.38, 4 Cs 3.38
Ta 0.7500 0.7500 0.7500  4 Pr 3.38